VASP calculation (GGA-PBE) on an optimized crystal structure of YP2Pd3.

Computed properties:
Total DFT energy (no corrections), eV/atom: -6.35
Volume, Å³ per atom: 16.7
N(E_F), states/eV/f.u.: 2.49
Energy relative to the elements, eV per atom: -0.875

a = 3.9285 Å, b = 8.3331 Å, c = 9.8962 Å
α = 107.14°, β = 90.00°, γ = 103.63°
Closest atoms and distances in Å follow each position.
Atoms (fractional coordinates):
Pd 0.3208 0.6416 0.0374  4 P 2.39-2.55
Pd 0.2297 0.4595 0.3898  2 P 2.29-2.42
Pd 0.6291 0.2583 0.2050  3 P 2.42-2.49
Pd 0.6792 0.3584 0.9626  4 P 2.39-2.55
Pd 0.3709 0.7417 0.7950  3 P 2.42-2.49
Pd 0.7703 0.5405 0.6102  2 P 2.29-2.42
Pd 0.9560 0.9120 0.6712  4 P 2.47-2.52
Pd 0.5000 0.0000 0.5000  2 P 2.36
Pd 0.0440 0.0880 0.3288  4 P 2.47-2.52
P 0.6336 0.2672 0.4514  5 Pd 2.29-2.52
P 0.7983 0.5965 0.8651  6 Pd 2.40-2.55
P 0.5379 0.0757 0.7941  3 Pd 2.39-2.47
P 0.3664 0.7328 0.5486  5 Pd 2.29-2.52
P 0.2017 0.4035 0.1349  6 Pd 2.40-2.55
P 0.4621 0.9243 0.2059  3 Pd 2.39-2.47
Y 0.8514 0.7028 0.3013  6 P 3.00-3.17, 7 Pd 3.05-3.26
Y 0.0000 0.0000 0.0000  6 P 3.02-3.13, 6 Pd 3.11-3.13
Y 0.1486 0.2972 0.6987  6 P 3.00-3.17, 7 Pd 3.05-3.26